Version w
# Ge2Pd8Au

A relaxed structure of Ge2Pd8Au (PBE-GGA, Alexandria).

- Volume: 15.68 Å³ per atom
- Magnetization: 0.00 μB/cell

Cell lengths 14.2404, 4.0411, 6.4886 Å; angles 90.00, 112.48, 90.00 degrees
Space group C2/m (No. 12)
One atom of each set of equivalent atoms:
1 Ge 0.2023 0.0000 0.1744 x4
2 Pd 0.0377 0.0000 0.2348 x4
3 Pd 0.1008 0.5000 0.9748 x4
4 Pd 0.1688 0.0000 0.7539 x4
5 Pd 0.1776 0.5000 0.4361 x4
6 Au 0.0000 0.5000 0.5000 x2

***

Version x
# Ge2Pd8Au

A relaxed structure of Ge2Pd8Au (PBE-GGA, Alexandria).

- Volume: 15.83 Å³ per atom
- Magnetization: 0.00 μB/cell

Cell lengths 4.0562, 7.0424, 12.1936 Å; angles 90.00, 90.00, 90.00 degrees
Space group Immm (No. 71)
One atom of each set of equivalent atoms:
1 Ge 0.0000 0.0000 0.1864 x4
2 Pd 0.0000 0.1960 0.0000 x4
3 Pd 0.0000 0.2803 0.3371 x8
4 Pd 0.0000 0.5000 0.1522 x4
5 Au 0.0000 0.0000 0.5000 x2

***

Quick one: most stable of them? version w

***

Version w
# Ge2Pd7Au

A relaxed structure of Ge2Pd7Au (PBE-GGA, Alexandria).

- Volume: 19.36 Å³ per atom
- Magnetization: 0.00 μB/cell

Cell lengths 7.3165, 12.1778, 4.3449 Å; angles 90.00, 90.00, 90.00 degrees
Space group Cmmm (No. 65)
One atom of each set of equivalent atoms:
1 Ge 0.0000 0.1973 0.0000 x4
2 Pd 0.0000 0.0000 0.0000 x2
3 Pd 0.0000 0.2773 0.5000 x4
4 Pd 0.1879 0.3796 0.0000 x8
5 Au 0.0000 0.5000 0.5000 x2

***

Version x
# Ge2Pd7Au

A relaxed structure of Ge2Pd7Au (PBE-GGA, Alexandria).

- Volume: 16.49 Å³ per atom
- Magnetization: 0.00 μB/cell

Cell lengths 4.0728, 4.0728, 19.8785 Å; angles 90.00, 90.00, 90.00 degrees
Space group I4/mmm (No. 139)
One atom of each set of equivalent atoms:
1 Ge 0.0000 0.0000 0.1727 x4
2 Pd 0.0000 0.0000 0.0000 x2
3 Pd 0.0000 0.5000 0.1013 x8
4 Pd 0.0000 0.5000 0.2500 x4
5 Au 0.0000 0.0000 0.5000 x2

***

Quick one: most stable of them? version x

***

Version w
# Pm2GeAu

A relaxed structure of Pm2GeAu (PBE-GGA, Alexandria).

- Volume: 25.89 Å³ per atom
- Magnetization: 0.00 μB/cell

Cell lengths 6.0698, 4.4443, 8.2216 Å; angles 90.00, 110.93, 90.00 degrees
Space group P2_1/m (No. 11)
One atom of each set of equivalent atoms:
1 Pm 0.2198 0.2500 0.4264 x2
2 Pm 0.2214 0.2500 0.9322 x2
3 Ge 0.3238 0.7500 0.7072 x2
4 Au 0.3384 0.7500 0.2091 x2

***

Version x
# Pm2GeAu

A relaxed structure of Pm2GeAu (PBE-GGA, Alexandria).

- Volume: 24.84 Å³ per atom
- Magnetization: 0.00 μB/cell

Cell lengths 3.6456, 3.6456, 7.4758 Å; angles 90.00, 90.00, 90.00 degrees
Space group P4/mmm (No. 123)
One atom of each set of equivalent atoms:
1 Pm 0.0000 0.0000 0.2467 x2
2 Ge 0.5000 0.5000 0.0000 x1
3 Au 0.5000 0.5000 0.5000 x1

***

Version y
# Pm2GeAu

A relaxed structure of Pm2GeAu (PBE-GGA, Alexandria).

- Volume: 25.81 Å³ per atom
- Magnetization: 0.00 μB/cell

Cell lengths 4.4261, 4.1634, 11.2062 Å; angles 90.00, 90.00, 90.00 degrees
Space group Amm2 (No. 38)
One atom of each set of equivalent atoms:
1 Pm 0.0000 0.0000 0.0000 x2
2 Pm 0.5000 0.0000 0.2771 x2
3 Ge 0.5000 0.0000 0.5517 x2
4 Au 0.0000 0.0000 0.7186 x2

***

Version z
# Pm2GeAu

A relaxed structure of Pm2GeAu (PBE-GGA, Alexandria).

- Volume: 25.00 Å³ per atom
- Magnetization: 3.18 μB/cell

Cell lengths 7.3677, 7.3677, 7.3677 Å; angles 90.00, 90.00, 90.00 degrees
Space group Fm-3m (No. 225)
One atom of each set of equivalent atoms:
1 Pm 0.2500 0.2500 0.2500 x8
2 Ge 0.0000 0.0000 0.0000 x4
3 Au 0.0000 0.0000 0.5000 x4

***

Quick one: most stable of them? version y

***

Version w
# Pm2Ge2Au3

A relaxed structure of Pm2Ge2Au3 (PBE-GGA, Alexandria).

- Volume: 21.51 Å³ per atom
- Magnetization: 0.00 μB/cell

Cell lengths 10.6025, 4.2247, 7.3181 Å; angles 90.00, 113.27, 90.00 degrees
Space group C2/m (No. 12)
One atom of each set of equivalent atoms:
1 Pm 0.1406 0.0000 0.2685 x4
2 Ge 0.1474 0.0000 0.7027 x4
3 Au 0.0000 0.5000 0.5000 x2
4 Au 0.1134 0.5000 0.9379 x4

***

Version x
# Pm2Ge2Au3

A relaxed structure of Pm2Ge2Au3 (PBE-GGA, Alexandria).

- Volume: 21.88 Å³ per atom
- Magnetization: 0.00 μB/cell

Cell lengths 11.2710, 4.2482, 6.4525 Å; angles 90.00, 97.42, 90.00 degrees
Space group C2/m (No. 12)
One atom of each set of equivalent atoms:
1 Pm 0.1300 0.0000 0.3206 x4
2 Ge 0.0875 0.5000 0.6538 x4
3 Au 0.0000 0.5000 0.0000 x2
4 Au 0.2013 0.0000 0.8505 x4

***

Quick one: most stable of them? version w

***

Version w
# PmGeAu

A relaxed structure of PmGeAu (PBE-GGA, Alexandria).

- Volume: 22.18 Å³ per atom
- Magnetization: 0.00 μB/cell

Cell lengths 4.5114, 7.5297, 7.8354 Å; angles 90.00, 90.00, 90.00 degrees
Space group Imm2 (No. 44)
One atom of each set of equivalent atoms:
1 Pm 0.0000 0.0000 0.0000 x2
2 Pm 0.0000 0.5000 0.0542 x2
3 Ge 0.0000 0.2305 0.3683 x4
4 Au 0.0000 0.2904 0.6988 x4

***

Version x
# PmGeAu

A relaxed structure of PmGeAu (PBE-GGA, Alexandria).

- Volume: 22.45 Å³ per atom
- Magnetization: 0.00 μB/cell

Cell lengths 4.9652, 5.0448, 10.7560 Å; angles 90.00, 90.00, 90.00 degrees
Space group Fmm2 (No. 42)
One atom of each set of equivalent atoms:
1 Pm 0.0000 0.0000 0.0000 x4
2 Ge 0.0000 0.0000 0.3092 x4
3 Au 0.0000 0.0000 0.6761 x4

***

Version y
# PmGeAu

A relaxed structure of PmGeAu (PBE-GGA, Alexandria).

- Volume: 24.72 Å³ per atom
- Magnetization: 0.00 μB/cell

Cell lengths 6.6690, 6.6690, 6.6690 Å; angles 90.00, 90.00, 90.00 degrees
Space group F-43m (No. 216)
One atom of each set of equivalent atoms:
1 Pm 0.0000 0.0000 0.0000 x4
2 Ge 0.0000 0.0000 0.5000 x4
3 Au 0.2500 0.2500 0.7500 x4

***

Version z
# PmGeAu

A relaxed structure of PmGeAu (PBE-GGA, Alexandria).

- Volume: 22.78 Å³ per atom
- Magnetization: 0.00 μB/cell

Cell lengths 4.4706, 4.4706, 7.8982 Å; angles 90.00, 90.00, 120.00 degrees
Space group P6_3/mmc (No. 194)
One atom of each set of equivalent atoms:
1 Pm 0.0000 0.0000 0.0000 x2
2 Ge 0.3333 0.6667 0.2500 x2
3 Au 0.3333 0.6667 0.7500 x2

***

Quick one: most stable of them? version z

***

Version w
# PmGeAu2

A relaxed structure of PmGeAu2 (PBE-GGA, Alexandria).

- Volume: 22.13 Å³ per atom
- Magnetization: 0.00 μB/cell

Cell lengths 3.7906, 3.7906, 6.1603 Å; angles 90.00, 90.00, 90.00 degrees
Space group P4/mmm (No. 123)
One atom of each set of equivalent atoms:
1 Pm 0.0000 0.0000 0.0000 x1
2 Ge 0.0000 0.0000 0.5000 x1
3 Au 0.5000 0.5000 0.2583 x2

***

Version x
# PmGeAu2

A relaxed structure of PmGeAu2 (PBE-GGA, Alexandria).

- Volume: 22.05 Å³ per atom
- Magnetization: 0.00 μB/cell

Cell lengths 4.0986, 4.4603, 9.8571 Å; angles 90.00, 101.76, 90.00 degrees
Space group P2_1/m (No. 11)
One atom of each set of equivalent atoms:
1 Pm 0.1106 0.2500 0.2169 x2
2 Ge 0.3279 0.2500 0.6611 x2
3 Au 0.2568 0.7500 0.5126 x2
4 Au 0.4599 0.2500 0.9214 x2

***

Quick one: most stable of them? version x

***

Version w
# PmGeAu2

A relaxed structure of PmGeAu2 (PBE-GGA, Alexandria).

- Volume: 21.53 Å³ per atom
- Magnetization: 0.00 μB/cell

Cell lengths 4.4705, 4.4705, 4.3100 Å; angles 90.00, 90.00, 90.00 degrees
Space group P4/mmm (No. 123)
One atom of each set of equivalent atoms:
1 Pm 0.0000 0.0000 0.0000 x1
2 Ge 0.5000 0.5000 0.0000 x1
3 Au 0.0000 0.5000 0.5000 x2

***

Version x
# PmGeAu2

A relaxed structure of PmGeAu2 (PBE-GGA, Alexandria).

- Volume: 23.05 Å³ per atom
- Magnetization: 0.00 μB/cell

Cell lengths 4.6406, 4.6406, 9.8854 Å; angles 90.00, 90.00, 120.00 degrees
Space group P-3m1 (No. 164)
One atom of each set of equivalent atoms:
1 Pm 0.0000 0.0000 0.1890 x2
2 Ge 0.3333 0.6667 0.6302 x2
3 Au 0.3333 0.6667 0.0079 x2
4 Au 0.3333 0.6667 0.3577 x2

***

Quick one: most stable of them? version x

***

Version w
# Pm3Ge3Au

A relaxed structure of Pm3Ge3Au (PBE-GGA, Alexandria).

- Volume: 24.38 Å³ per atom
- Magnetization: 0.00 μB/cell

Cell lengths 4.1489, 4.3683, 18.8337 Å; angles 90.00, 90.00, 90.00 degrees
Space group Imm2 (No. 44)
One atom of each set of equivalent atoms:
1 Pm 0.0000 0.0000 0.0000 x2
2 Pm 0.0000 0.0000 0.3663 x2
3 Pm 0.0000 0.5000 0.6889 x2
4 Ge 0.0000 0.0000 0.5314 x2
5 Ge 0.0000 0.0000 0.8362 x2
6 Ge 0.0000 0.5000 0.2500 x2
7 Au 0.0000 0.5000 0.1171 x2

***

Version x
# Pm3Ge3Au

A relaxed structure of Pm3Ge3Au (PBE-GGA, Alexandria).

- Volume: 28.00 Å³ per atom
- Magnetization: 0.00 μB/cell

Cell lengths 8.7588, 8.7588, 5.9007 Å; angles 90.00, 90.00, 120.00 degrees
Space group P6_3/m (No. 176)
One atom of each set of equivalent atoms:
1 Pm 0.0657 0.6859 0.2500 x6
2 Ge 0.0602 0.7095 0.7500 x6
3 Au 0.3333 0.6667 0.7500 x2

***

Quick one: most stable of them? version w

***

Version w
# Pm2GeAu6

A relaxed structure of Pm2GeAu6 (PBE-GGA, Alexandria).

- Volume: 21.52 Å³ per atom
- Magnetization: 0.00 μB/cell

Cell lengths 11.1315, 6.4601, 5.3874 Å; angles 90.00, 90.21, 90.00 degrees
Space group C2/m (No. 12)
One atom of each set of equivalent atoms:
1 Pm 0.1675 0.0000 0.3166 x4
2 Ge 0.0000 0.5000 0.5000 x2
3 Au 0.0918 0.2231 0.8082 x8
4 Au 0.1832 0.5000 0.1907 x4

***

Version x
# Pm2GeAu6

A relaxed structure of Pm2GeAu6 (PBE-GGA, Alexandria).

- Volume: 22.67 Å³ per atom
- Magnetization: 0.00 μB/cell

Cell lengths 7.7601, 13.6516, 3.8521 Å; angles 90.00, 90.00, 90.00 degrees
Space group Cmmm (No. 65)
One atom of each set of equivalent atoms:
1 Pm 0.0000 0.2034 0.0000 x4
2 Ge 0.0000 0.5000 0.5000 x2
3 Au 0.1915 0.0000 0.0000 x4
4 Au 0.1981 0.3483 0.5000 x8

***

Quick one: most stable of them? version w

***

Version w
# Pm2Ge3Au5

A relaxed structure of Pm2Ge3Au5 (PBE-GGA, Alexandria).

- Volume: 21.12 Å³ per atom
- Magnetization: 0.00 μB/cell

Cell lengths 12.4607, 12.4040, 6.2064 Å; angles 90.00, 118.27, 90.00 degrees
Space group C2/c (No. 15)
One atom of each set of equivalent atoms:
1 Pm 0.2385 0.1315 0.2327 x8
2 Ge 0.0000 0.4840 0.7500 x4
3 Ge 0.1305 0.1293 0.6407 x8
4 Au 0.0000 0.0034 0.2500 x4
5 Au 0.0000 0.2416 0.2500 x4
6 Au 0.0000 0.2640 0.7500 x4
7 Au 0.1463 0.3926 0.1767 x8

***

Version x
# Pm2Ge3Au5

A relaxed structure of Pm2Ge3Au5 (PBE-GGA, Alexandria).

- Volume: 21.89 Å³ per atom
- Magnetization: 0.00 μB/cell

Cell lengths 4.4270, 4.4270, 11.1715 Å; angles 90.00, 90.00, 90.00 degrees
Space group P-4m2 (No. 115)
One atom of each set of equivalent atoms:
1 Pm 0.0000 0.5000 0.2281 x2
2 Ge 0.0000 0.5000 0.6281 x2
3 Ge 0.5000 0.5000 0.5000 x1
4 Au 0.0000 0.0000 0.0000 x1
5 Au 0.0000 0.0000 0.5000 x1
6 Au 0.0000 0.5000 0.8457 x2
7 Au 0.5000 0.5000 0.0000 x1

***

Quick one: most stable of them? version w